Density functional theory data (PBE-GGA) for crystalline Sm3Y2Ho at its relaxed geometry.

Cell and atoms, written as CIF:
```
data_Sm3Y2Ho
_cell_length_a 6.2377
_cell_length_b 6.2377
_cell_length_c 11.5904
_cell_angle_alpha 90.00
_cell_angle_beta 90.00
_cell_angle_gamma 59.98
_space_group_name_H-M_alt 'P 1'
_space_group_IT_number 1
loop_
_space_group_symop_operation_xyz
'x,y,z'
loop_
_atom_site_label
_atom_site_fract_x
_atom_site_fract_y
_atom_site_fract_z
Sm1 0.0000 0.0000 0.0000
Sm2 0.0000 0.0000 0.5000
Sm3 0.3343 0.3343 0.0000
Sm4 0.3343 0.3343 0.5000
Sm5 0.6657 0.6657 0.0000
Sm6 0.6657 0.6657 0.5000
Y1 0.0004 0.3328 0.2500
Y2 0.9996 0.6672 0.7500
Y3 0.3328 0.0004 0.7500
Y4 0.6672 0.9996 0.2500
Ho1 0.3339 0.6661 0.2500
Ho2 0.6661 0.3339 0.7500
```

Values from the calculation:
- Uncorrected energy: -5.278 eV per atom
- Energy of formation: -0.0045 eV per atom

***

Density functional theory data (PBE-GGA) for crystalline SmHoZn4 at its relaxed geometry.

Cell and atoms, written as CIF:
```
data_SmHoZn4
_cell_length_a 3.5076
_cell_length_b 4.4872
_cell_length_c 7.7794
_cell_angle_alpha 90.00
_cell_angle_beta 90.00
_cell_angle_gamma 90.00
_space_group_name_H-M_alt 'P 1'
_space_group_IT_number 1
loop_
_space_group_symop_operation_xyz
'x,y,z'
loop_
_atom_site_label
_atom_site_fract_x
_atom_site_fract_y
_atom_site_fract_z
Sm1 0.0000 0.0000 0.0000
Ho1 0.0000 0.5000 0.5000
Zn1 0.5000 0.0000 0.3373
Zn2 0.5000 0.0000 0.6627
Zn3 0.5000 0.5000 0.1712
Zn4 0.5000 0.5000 0.8288
```

Values from the calculation:
- Uncorrected energy: -2.764 eV per atom
- Energy of formation: -0.3727 eV per atom
- Relative energy among the computed polymorphs: 11 meV per atom

***

Please write out number 1 again, unchanged.
Density functional theory data (PBE-GGA) for crystalline Sm3Y2Ho at its relaxed geometry.

Cell and atoms, written as CIF:
```
data_Sm3Y2Ho
_cell_length_a 6.2377
_cell_length_b 6.2377
_cell_length_c 11.5904
_cell_angle_alpha 90.00
_cell_angle_beta 90.00
_cell_angle_gamma 59.98
_space_group_name_H-M_alt 'P 1'
_space_group_IT_number 1
loop_
_space_group_symop_operation_xyz
'x,y,z'
loop_
_atom_site_label
_atom_site_fract_x
_atom_site_fract_y
_atom_site_fract_z
Sm1 0.0000 0.0000 0.0000
Sm2 0.0000 0.0000 0.5000
Sm3 0.3343 0.3343 0.0000
Sm4 0.3343 0.3343 0.5000
Sm5 0.6657 0.6657 0.0000
Sm6 0.6657 0.6657 0.5000
Y1 0.0004 0.3328 0.2500
Y2 0.9996 0.6672 0.7500
Y3 0.3328 0.0004 0.7500
Y4 0.6672 0.9996 0.2500
Ho1 0.3339 0.6661 0.2500
Ho2 0.6661 0.3339 0.7500
```

Values from the calculation:
- Uncorrected energy: -5.278 eV per atom
- Energy of formation: -0.0045 eV per atom

***

Repeat the second record exactly.
Density functional theory data (PBE-GGA) for crystalline SmHoZn4 at its relaxed geometry.

Cell and atoms, written as CIF:
```
data_SmHoZn4
_cell_length_a 3.5076
_cell_length_b 4.4872
_cell_length_c 7.7794
_cell_angle_alpha 90.00
_cell_angle_beta 90.00
_cell_angle_gamma 90.00
_space_group_name_H-M_alt 'P 1'
_space_group_IT_number 1
loop_
_space_group_symop_operation_xyz
'x,y,z'
loop_
_atom_site_label
_atom_site_fract_x
_atom_site_fract_y
_atom_site_fract_z
Sm1 0.0000 0.0000 0.0000
Ho1 0.0000 0.5000 0.5000
Zn1 0.5000 0.0000 0.3373
Zn2 0.5000 0.0000 0.6627
Zn3 0.5000 0.5000 0.1712
Zn4 0.5000 0.5000 0.8288
```

Values from the calculation:
- Uncorrected energy: -2.764 eV per atom
- Energy of formation: -0.3727 eV per atom
- Relative energy among the computed polymorphs: 11 meV per atom